1.
The following is a DFT calculation (GGA-PBE) of an optimized crystal structure of Tb3Sm4YTe8.

The structure in POSCAR format:
```
Tb3Sm4YTe8
1.0
8.792 0.000 0.000
0.000 8.843 0.031
-4.396 -4.391 6.219
Te Sm Tb Y
8 4 3 1
direct
0.248 0.743 0.495
0.752 0.257 0.505
0.252 0.257 0.004
0.752 0.257 0.004
0.748 0.744 0.496
0.252 0.256 0.504
0.248 0.743 0.996
0.748 0.743 0.996
0.000 0.000 0.000
0.000 0.000 0.500
0.500 0.000 0.000
0.500 0.000 0.500
0.500 0.500 0.000
0.000 0.500 0.500
0.500 0.500 0.500
0.000 0.500 0.000
```

Calculated values
Space group: R-3m
DOS at the Fermi energy: 12.2 states/eV/cell
Uncorrected energy: -85.87 eV/cell
Calculated volume: 485 Å³ per cell
Magnetic moment: 0.00 μB/f.u.

***

2.
The following is a DFT calculation (GGA-PBE) of an optimized crystal structure of Tb3SmY2Te6.

The structure in POSCAR format:
```
Tb3SmY2Te6
1.0
-1.129 4.213 -0.001
-6.987 -1.871 5.032
7.433 -0.264 6.376
Te Tb Y Sm
6 3 2 1
direct
0.999 0.745 0.999
0.669 0.085 0.339
0.668 0.583 0.336
0.332 0.417 0.664
0.001 0.255 0.001
0.331 0.915 0.661
0.500 0.500 0.000
0.164 0.833 0.328
0.836 0.167 0.672
0.835 0.670 0.670
0.165 0.330 0.330
0.500 0.000 0.000
```

Calculated values
Space group: C2/m
DOS at the Fermi energy: 6.5 states/eV/cell
Uncorrected energy: -66.26 eV/cell
Calculated volume: 357 Å³ per cell
Magnetic moment: 0.00 μB/f.u.

***

3.
The following is a DFT calculation (GGA-PBE) of an optimized crystal structure of TbSmY2Te6.

The structure in POSCAR format:
```
TbSmY2Te6
1.0
7.748 0.000 0.000
3.874 6.710 0.000
3.874 2.237 7.061
Te Y Sm Tb
6 2 1 1
direct
0.110 0.408 0.751
0.233 0.914 0.249
0.914 0.604 0.249
0.408 0.731 0.751
0.604 0.233 0.249
0.731 0.110 0.751
0.008 0.008 0.975
0.509 0.509 0.472
0.821 0.821 0.536
0.323 0.323 0.032
```

Calculated values
Space group: R3
Uncorrected energy: -54.92 eV/cell
Calculated volume: 367 Å³ per cell
Magnetic moment: 0.00 μB/f.u.

***

4.
The following is a DFT calculation (GGA-PBE) of an optimized crystal structure of Tb2SmYTe6.

The structure in POSCAR format:
```
Tb2SmYTe6
1.0
-3.644 5.443 4.154
-7.722 0.629 -0.358
-4.408 -2.504 6.657
Te Y Tb Sm
6 1 2 1
direct
0.109 0.409 0.752
0.409 0.730 0.752
0.916 0.602 0.249
0.602 0.232 0.249
0.232 0.916 0.249
0.730 0.109 0.752
0.323 0.323 0.031
0.510 0.510 0.471
0.009 0.009 0.974
0.821 0.821 0.536
```

Calculated values
Space group: R3
Uncorrected energy: -53.04 eV/cell
Calculated volume: 368 Å³ per cell
Magnetic moment: 0.00 μB/f.u.

***

5.
The following is a DFT calculation (GGA-PBE) of an optimized crystal structure of TbSm2YTe5.

The structure in POSCAR format:
```
TbSm2YTe5
1.0
-3.284 -2.819 3.499
3.373 -4.410 -0.386
6.169 3.935 8.960
Tb Te Y Sm
1 5 1 2
direct
0.000 0.000 0.500
0.000 0.000 0.755
0.000 0.000 0.245
0.500 0.000 0.500
0.000 0.500 0.500
0.500 0.500 0.000
0.000 0.000 0.000
0.500 0.500 0.656
0.500 0.500 0.344
```

Calculated values
Space group: P4/mmm
DOS at the Fermi energy: 4.5 states/eV/cell
Uncorrected energy: -42.97 eV/cell
Calculated volume: 358 Å³ per cell
Magnetic moment: 0.62 μB/f.u.

***

6.
The following is a DFT calculation (GGA-PBE) of an optimized crystal structure of Tb3Sm2YTe6.

The structure in POSCAR format:
```
Tb3Sm2YTe6
1.0
-2.339 2.266 -2.922
3.499 -4.812 -6.532
-6.660 -6.089 3.885
Sm Te Tb Y
2 6 3 1
direct
0.168 0.335 0.337
0.832 0.665 0.663
0.335 0.922 0.670
0.002 0.752 0.004
0.998 0.248 0.996
0.664 0.586 0.329
0.336 0.414 0.671
0.665 0.078 0.330
0.500 0.500 0.000
0.169 0.833 0.339
0.831 0.167 0.661
0.500 0.000 0.000
```

Calculated values
Space group: C2/m
DOS at the Fermi energy: 6.5 states/eV/cell
Uncorrected energy: -64.67 eV/cell
Calculated volume: 360 Å³ per cell
Magnetic moment: 0.00 μB/f.u.

***

7.
The following is a DFT calculation (GGA-PBE) of an optimized crystal structure of Tb5Sm4Th4.

The structure in POSCAR format:
```
Tb5Sm4Th4
1.0
-1.561 4.764 0.744
-6.820 -0.569 6.596
5.503 3.412 6.958
Tb Sm Th
5 4 4
direct
0.305 0.157 0.233
0.462 0.233 0.843
0.695 0.843 0.767
0.000 0.000 0.000
0.538 0.767 0.157
0.848 0.919 0.386
0.233 0.614 0.919
0.152 0.081 0.614
0.767 0.386 0.081
0.925 0.463 0.687
0.612 0.313 0.463
0.075 0.537 0.313
0.388 0.687 0.537
```

Calculated values
Space group: I4/m
DOS at the Fermi energy: 17.5 states/eV/cell
Energy of formation from the pure elements: 0.0351 eV per atom
Uncorrected energy: -71.25 eV/cell
Calculated volume: 425 Å³ per cell
Magnetic moment: 0.00 μB/f.u.

***

8.
The following is a DFT calculation (GGA-PBE) of an optimized crystal structure of Tb2SmTh.

The structure in POSCAR format:
```
Tb2SmTh
1.0
5.697 0.000 0.000
2.848 4.933 0.000
2.848 1.644 4.651
Th Tb Sm
1 2 1
direct
0.000 0.000 0.000
0.250 0.250 0.250
0.750 0.750 0.750
0.500 0.500 0.500
```

Calculated values
Space group: Fm-3m
DOS at the Fermi energy: 8.7 states/eV/cell
Energy of formation from the pure elements: 0.1593 eV per atom
Uncorrected energy: -20.76 eV/cell
Calculated volume: 131 Å³ per cell
Magnetic moment: 0.00 μB/f.u.

***

> Which of these has the highest uncorrected energy?

Tb2SmTh

***

Copy entry 3 word for word.
The following is a DFT calculation (GGA-PBE) of an optimized crystal structure of TbSmY2Te6.

The structure in POSCAR format:
```
TbSmY2Te6
1.0
7.748 0.000 0.000
3.874 6.710 0.000
3.874 2.237 7.061
Te Y Sm Tb
6 2 1 1
direct
0.110 0.408 0.751
0.233 0.914 0.249
0.914 0.604 0.249
0.408 0.731 0.751
0.604 0.233 0.249
0.731 0.110 0.751
0.008 0.008 0.975
0.509 0.509 0.472
0.821 0.821 0.536
0.323 0.323 0.032
```

Calculated values
Space group: R3
Uncorrected energy: -54.92 eV/cell
Calculated volume: 367 Å³ per cell
Magnetic moment: 0.00 μB/f.u.

***

> Number 6 is which compound?

Tb3Sm2YTe6

***

> Look up the magnetic moment of the third one.

0.00 μB/f.u.